## SrVC2O8 (GGA+U)

Data for a geometry-optimized SrVC2O8 structure.

a = 4.6410 Å, b = 4.6410 Å, c = 7.0968 Å
α = 90.00°, β = 90.00°, γ = 120.00°
Closest atoms and distances in Å follow each position.
Fractional positions:
Sr  0.0000  0.0000  0.0000  12 O 2.75-2.85
V  0.0000  0.0000  0.5000  6 O 1.89
C  0.3333  0.6667  0.7200  4 O 1.37-1.40
C  0.6667  0.3333  0.2800  4 O 1.37-1.40
O  0.0768  0.3575  0.6599  1 C 1.40
O  0.2807  0.9232  0.6599  1 C 1.40
O  0.3333  0.6667  0.9131  1 C 1.37
O  0.3575  0.2807  0.3401  1 C 1.40
O  0.6425  0.7193  0.6599  1 C 1.40
O  0.6667  0.3333  0.0869  1 C 1.37
O  0.7193  0.0768  0.3401  1 C 1.40
O  0.9232  0.6425  0.3401  1 C 1.40

* calculated volume: 11.0 A^3/atom
* symmetry: No. 147
* energy: -85.255 eV/cell
* density: 3.6 g/cm³
* spin magnetization: 1.07 μB per formula unit